Entry from Alexandria via LeMat-Bulk: a relaxed structure of Zr3FeRh2 (PBE).

* space-group type: P4/mmm (123)
* final energy: -0.6402 Ry/atom

a b c (Å): 3.2703 3.2703 9.7793
angles (deg): 90.00 90.00 90.00
Last column: nearest neighbours and their distance in Å.
Element x y z (fractional)
Zr 0.0000 0.0000 0.6590  4 Fe 2.79, 4 Rh 2.87, 1 Zr 3.11
Zr 0.0000 0.0000 0.3410  4 Fe 2.79, 4 Rh 2.87, 1 Zr 3.11
Zr 0.0000 0.0000 0.0000  8 Rh 2.83
Rh 0.5000 0.5000 0.1664  8 Zr 2.83-2.87
Rh 0.5000 0.5000 0.8336  8 Zr 2.83-2.87
Fe 0.5000 0.5000 0.5000  8 Zr 2.79